Entry from Alexandria: a relaxed LiTbSm crystal (PBE-GGA).

Results
SG: P4/nmm
Size of the total moment (μB/cell): 0.00
VASP energy (eV/atom): -3.62
Energy relative to the lowest polymorph listed for this composition (kJ/mol of formula units): 24
DFT formation energy (eV per atom): 0.133
ρ (g/cm3): 6.03

abc: 3.6204 3.6204 13.2842
angles: 90.00 90.00 90.00
Element x y z (fractional)
Li 0.2500 0.7500 0.0000
Li 0.7500 0.2500 0.0000
Tb 0.2500 0.2500 0.4046
Tb 0.7500 0.7500 0.5954
Sm 0.2500 0.2500 0.7824
Sm 0.7500 0.7500 0.2176



Entry from Alexandria: a relaxed MgNiAs2Se crystal (PBE-GGA).

Results
Formation energy without anion corrections (eV/atom): 0.936
SG: P4/mmm
Size of the total moment (μB/cell): 0.47
VASP energy (eV/atom): -3.10
Energy relative to the lowest polymorph listed for this composition (kJ/mol of formula units): 375
ρ (g/cm3): 4.49

abc: 4.8527 4.8527 4.8928
angles: 90.00 90.00 90.00
Element x y z (fractional)
Mg 0.0000 0.0000 0.0000
Ni 0.5000 0.5000 0.5000
As 0.0000 0.5000 0.0000
As 0.5000 0.0000 0.0000
Se 0.0000 0.0000 0.5000



Entry from Alexandria: a relaxed SrLaCdAg crystal (PBE-GGA).

Results
SG: P4mm
Size of the total moment (μB/cell): 0.03
VASP energy (eV/atom): -2.89
Energy relative to the lowest polymorph listed for this composition (kJ/mol of formula units): 0
DFT formation energy (eV per atom): -0.297
ρ (g/cm3): 6.08

abc: 3.9281 3.9281 7.9097
angles: 90.00 90.00 90.00
Element x y z (fractional)
Sr 0.0000 0.0000 0.0000
La 0.0000 0.0000 0.4833
Cd 0.5000 0.5000 0.7267
Ag 0.5000 0.5000 0.2623



Entry from Alexandria: a relaxed CrFeAs crystal (PBE-GGA).

Results
SG: P-62m
Size of the total moment (μB/cell): 6.10
VASP energy (eV/atom): -7.68
DFT formation energy (eV per atom): -0.104
ρ (g/cm3): 7.81

abc: 6.0478 6.0478 3.6808
angles: 90.00 90.00 120.00
Element x y z (fractional)
Cr 0.0000 0.5861 0.0000
Cr 0.4139 0.4139 0.0000
Cr 0.5861 0.0000 0.0000
Fe 0.0000 0.2458 0.5000
Fe 0.2458 0.0000 0.5000
Fe 0.7542 0.7542 0.5000
As 0.0000 0.0000 0.0000
As 0.3333 0.6667 0.5000
As 0.6667 0.3333 0.5000



Entry from Alexandria: a relaxed FeAuSN2 crystal (PBE-GGA).

Results
Formation energy without anion corrections (eV/atom): 0.844
SG: P4/mmm
Size of the total moment (μB/cell): 0.00
VASP energy (eV/atom): -5.66
Energy relative to the lowest polymorph listed for this composition (kJ/mol of formula units): 0
ρ (g/cm3): 7.59

abc: 3.5468 3.5468 5.4437
angles: 90.00 90.00 90.00
Element x y z (fractional)
Fe 0.0000 0.0000 0.0000
Au 0.5000 0.5000 0.5000
S 0.0000 0.0000 0.5000
N 0.0000 0.5000 0.0000
N 0.5000 0.0000 0.0000